1.
DFT (GGA-PBE) results for Np2RuAu after structural relaxation.

Properties
**Calculated formation energy**: -0.03 eV/atom
**Spin magnetization**: 2.04 μB per atom
**Density**: 15.33 g/cm³
**N(E_F)**: 2.5974 states/eV/atom

Cell and atoms, written as CIF:
```
data_Np2RuAu
_symmetry_space_group_name_H-M 'P 4/m m m'
_symmetry_Int_Tables_number 123
_symmetry_space_group_name_Hall '-P 4 2'
_cell_length_a 3.207
_cell_length_b 3.207
_cell_length_c 8.132
_cell_angle_alpha 90.00
_cell_angle_beta 90.00
_cell_angle_gamma 90.00
loop_
_atom_site_label
_atom_site_fract_x
_atom_site_fract_y
_atom_site_fract_z
Np1 0.000 0.000 0.222
Ru1 0.500 0.500 0.000
Au1 0.500 0.500 0.500
```

2.
DFT (GGA-PBE) results for NpURuAu after structural relaxation.

Properties
**Calculated formation energy**: -0.19 eV/atom
**Spin magnetization**: 1.04 μB per atom
**Density**: 17.41 g/cm³
**N(E_F)**: 1.0303 states/eV/atom

Cell and atoms, written as CIF:
```
data_NpURuAu
_symmetry_space_group_name_H-M 'F -4 3 m'
_symmetry_Int_Tables_number 216
_symmetry_space_group_name_Hall 'F -4 2 3'
_cell_length_a 6.657
_cell_length_b 6.657
_cell_length_c 6.657
_cell_angle_alpha 90.00
_cell_angle_beta 90.00
_cell_angle_gamma 90.00
loop_
_atom_site_label
_atom_site_fract_x
_atom_site_fract_y
_atom_site_fract_z
Np1 0.000 0.000 0.000
U1 0.250 0.250 0.750
Ru1 0.000 0.000 0.500
Au1 0.250 0.250 0.250
```

3.
DFT (GGA-PBE) results for Np3AuS6 after structural relaxation.

Properties
**Spin magnetization**: 1.00 μB per atom
**Density**: 8.19 g/cm³
**N(E_F)**: 2.4408 states/eV/atom
**Formation energy (no corrections)**: -1.128 eV/atom

Cell and atoms, written as CIF:
```
data_Np3AuS6
_symmetry_space_group_name_H-M 'C m c 21'
_symmetry_Int_Tables_number 36
_symmetry_space_group_name_Hall 'C 2c -2'
_cell_length_a 10.482
_cell_length_b 12.864
_cell_length_c 6.616
_cell_angle_alpha 90.00
_cell_angle_beta 90.00
_cell_angle_gamma 90.00
loop_
_atom_site_label
_atom_site_fract_x
_atom_site_fract_y
_atom_site_fract_z
Np1 0.000 0.102 0.000
Np2 0.179 0.402 0.899
Au1 0.000 0.254 0.390
S1 0.000 0.270 0.748
S2 0.000 0.477 0.167
S3 0.162 0.035 0.702
S4 0.183 0.228 0.159
```

4.
DFT (GGA-PBE) results for NpAuS3 after structural relaxation.

Properties
**Spin magnetization**: 0.65 μB per atom
**Density**: 8.33 g/cm³
**N(E_F)**: 2.0062 states/eV/atom
**Formation energy (no corrections)**: -0.681 eV/atom

Cell and atoms, written as CIF:
```
data_NpAuS3
_symmetry_space_group_name_H-M 'P 1 21/m 1'
_symmetry_Int_Tables_number 11
_symmetry_space_group_name_Hall '-P 2yb'
_cell_length_a 3.953
_cell_length_b 8.295
_cell_length_c 6.461
_cell_angle_alpha 90.00
_cell_angle_beta 93.58
_cell_angle_gamma 90.00
loop_
_atom_site_label
_atom_site_fract_x
_atom_site_fract_y
_atom_site_fract_z
Np1 0.241 0.250 0.006
Au1 0.000 0.000 0.500
S1 0.211 0.750 0.684
S2 0.277 0.559 0.184
```

5.
DFT (GGA-PBE) results for NpSbAuS after structural relaxation.

Properties
**Spin magnetization**: 0.85 μB per atom
**Density**: 10.94 g/cm³
**N(E_F)**: 2.5774 states/eV/atom
**Formation energy (no corrections)**: -0.601 eV/atom

Cell and atoms, written as CIF:
```
data_NpSbAuS
_symmetry_space_group_name_H-M 'P 4/n m m'
_symmetry_Int_Tables_number 129
_cell_length_a 4.492
_cell_length_b 4.492
_cell_length_c 8.846
_cell_angle_alpha 90.00
_cell_angle_beta 90.00
_cell_angle_gamma 90.00
loop_
_symmetry_equiv_pos_as_xyz
'x,y,z'
'-x,-y,-z'
'-y+1/2,x,z'
'y+1/2,-x,-z'
'-x+1/2,-y+1/2,z'
'x+1/2,y+1/2,-z'
'y,-x+1/2,z'
'-y,x+1/2,-z'
'x+1/2,-y,-z'
'-x+1/2,y,z'
'-y,-x,-z'
'y,x,z'
'-x,y+1/2,-z'
'x,-y+1/2,z'
'y+1/2,x+1/2,-z'
'-y+1/2,-x+1/2,z'
loop_
_atom_site_label
_atom_site_fract_x
_atom_site_fract_y
_atom_site_fract_z
Np1 0.250 0.250 0.174
Sb1 0.250 0.250 0.694
Au1 0.250 0.750 0.500
S1 0.250 0.750 0.000
```

6.
DFT (GGA-PBE) results for Np2Te2AuS2 after structural relaxation.

Properties
**Spin magnetization**: 1.00 μB per atom
**Density**: 7.62 g/cm³
**N(E_F)**: 2.6410 states/eV/atom
**Formation energy (no corrections)**: -0.810 eV/atom

Cell and atoms, written as CIF:
```
data_Np2Te2AuS2
_symmetry_space_group_name_H-M 'P -3 m 1'
_symmetry_Int_Tables_number 164
_symmetry_space_group_name_Hall '-P 3 2"'
_cell_length_a 4.4864
_cell_length_b 4.4864
_cell_length_c 12.3822
_cell_angle_alpha 90.00
_cell_angle_beta 90.00
_cell_angle_gamma 120.00
loop_
_atom_site_label
_atom_site_fract_x
_atom_site_fract_y
_atom_site_fract_z
Np1 0.3333 0.6667 0.1424
Te1 0.0000 0.0000 0.2909
Au1 0.0000 0.0000 0.5000
S1 0.3333 0.6667 0.9196
```

7.
DFT (GGA-PBE) results for NpTl2Au2S4 after structural relaxation.

Properties
**Spin magnetization**: 0.34 μB per atom
**Density**: 8.57 g/cm³
**N(E_F)**: 1.1214 states/eV/atom
**Formation energy (no corrections)**: -0.521 eV/atom

Cell and atoms, written as CIF:
```
data_NpTl2Au2S4
_symmetry_space_group_name_H-M 'C 1 2/m 1'
_symmetry_Int_Tables_number 12
_symmetry_space_group_name_Hall '-C 2y'
_cell_length_a 15.601
_cell_length_b 3.875
_cell_length_c 7.963
_cell_angle_alpha 90.00
_cell_angle_beta 109.98
_cell_angle_gamma 90.00
loop_
_atom_site_label
_atom_site_fract_x
_atom_site_fract_y
_atom_site_fract_z
Np1 0.000 0.000 0.000
Tl1 0.121 0.000 0.582
Au1 0.211 0.500 0.070
S1 0.026 0.500 0.790
S2 0.175 0.000 0.225
```

8.
DFT (GGA-PBE) results for NpTlAuS3 after structural relaxation.

Properties
**Spin magnetization**: 0.52 μB per atom
**Density**: 7.81 g/cm³
**N(E_F)**: 1.6590 states/eV/atom
**Formation energy (no corrections)**: -0.740 eV/atom

Cell and atoms, written as CIF:
```
data_NpTlAuS3
_symmetry_space_group_name_H-M 'P 1 21/m 1'
_symmetry_Int_Tables_number 11
_symmetry_space_group_name_Hall '-P 2yb'
_cell_length_a 8.718
_cell_length_b 3.967
_cell_length_c 9.531
_cell_angle_alpha 90.00
_cell_angle_beta 108.59
_cell_angle_gamma 90.00
loop_
_atom_site_label
_atom_site_fract_x
_atom_site_fract_y
_atom_site_fract_z
Np1 0.178 0.250 0.158
Tl1 0.307 0.750 0.790
Au1 0.384 0.750 0.464
S1 0.040 0.250 0.861
S2 0.221 0.250 0.451
S3 0.377 0.750 0.141
```

- Which value of density does entry 3 give?
  8.19 g/cm³

- Which value of spin magnetization does entry 2 give?
  1.04 μB per atom

- What is the N(E_F) in the fifth record?
  2.5774 states/eV/atom

- Which of these has the lowest N(E_F)?
  NpURuAu